# 1
Below is crystalline NpCo2S3 at its relaxed geometry, with properties calculated at the PBE level.

Its volume is 226 Å³ per cell. As for the uncorrected formation energy: -703 meV/atom.

Unit cell a=5.9603 b=3.7154 c=10.2405 alpha=90.00 beta=95.41 gamma=90.00
Space group P2_1/m (No. 11)
Asymmetric unit:
Np: 0.1350 0.2500 0.3378
Co: 0.0448 0.7500 0.0865
Co: 0.4564 0.2500 0.5799
S: 0.1378 0.7500 0.8852
S: 0.2547 0.7500 0.5478
S: 0.3631 0.7500 0.2186

# 2
Below is crystalline Tc2NiTePd at its relaxed geometry, with properties calculated at the PBE level.

Its volume is 109 Å³ per cell. As for the uncorrected formation energy: 1573 meV/atom.

Unit cell a=4.9102 b=4.9102 c=4.5236 alpha=90.00 beta=90.00 gamma=90.00
Space group P4/mmm (No. 123)
Asymmetric unit:
Tc: 0.0000 0.5000 0.0000
Ni: 0.0000 0.0000 0.5000
Te: 0.0000 0.0000 0.0000
Pd: 0.5000 0.5000 0.5000

# 3
Below is crystalline KSrSc at its relaxed geometry, with properties calculated at the PBE level.

Its volume is 262 Å³ per cell. Its total energy is -2.48 eV/atom.

Unit cell a=3.7435 b=5.7407 c=12.2097 alpha=90.00 beta=90.00 gamma=90.00
Space group Imm2 (No. 44)
Asymmetric unit:
K: 0.0000 0.0000 0.0000
Sr: 0.0000 0.0000 0.3163
Sc: 0.0000 0.0000 0.6692

# 4
Below is crystalline DyAgGeTe3 at its relaxed geometry, with properties calculated at the PBE level.

Its volume is 341 Å³ per cell. As for the uncorrected formation energy: -588 meV/atom.

Unit cell a=8.6494 b=4.1935 c=9.6018 alpha=90.00 beta=101.70 gamma=90.00
Space group P2_1/m (No. 11)
Asymmetric unit:
Dy: 0.1774 0.2500 0.2423
Ag: 0.0845 0.2500 0.5812
Ge: 0.3348 0.7500 0.8472
Te: 0.0929 0.2500 0.8793
Te: 0.2696 0.7500 0.4915
Te: 0.4118 0.7500 0.1485

# 5
Below is crystalline Sc2Be2Sb at its relaxed geometry, with properties calculated at the PBE level.

Its volume is 169 Å³ per cell. As for the uncorrected formation energy: -367 meV/atom.

Unit cell a=6.4527 b=6.4527 c=4.0478 alpha=90.00 beta=90.00 gamma=90.00
Space group P4/mbm (No. 127)
Asymmetric unit:
Sc: 0.1669 0.3331 0.0000
Be: 0.1157 0.6157 0.5000
Sb: 0.0000 0.0000 0.5000

# 6
Below is crystalline Tl3GaCl at its relaxed geometry, with properties calculated at the PBE level.

Its volume is 173 Å³ per cell. As for the uncorrected formation energy: -85 meV/atom.

Unit cell a=5.5720 b=5.5720 c=5.5720 alpha=90.00 beta=90.00 gamma=90.00
Space group Pm-3m (No. 221)
Asymmetric unit:
Tl: 0.0000 0.0000 0.5000
Ga: 0.0000 0.0000 0.0000
Cl: 0.5000 0.5000 0.5000

It is found that the magnetization values, taken in the order of the records, are 5.45 4.53 1.60 0.00 0.00 0.00 μB per cell.